Model i:
This record from Alexandria via LeMat-Bulk describes an optimized crystal structure of Sc4Os5. The functional is PBE.

```
Sc4Os5
1.0
-4.9871 4.9871 1.5320
4.9871 -4.9871 1.5320
4.9871 4.9871 -1.5320
Sc Os
4 5
Direct
0.0000 0.3041 0.3041 Sc
0.0000 0.6959 0.6959 Sc
0.3041 0.0000 0.3041 Sc
0.6959 0.0000 0.6959 Sc
0.0000 0.0000 0.0000 Os
0.3317 0.3317 0.6635 Os
0.3317 0.6683 0.0000 Os
0.6683 0.3317 0.0000 Os
0.6683 0.6683 0.3365 Os
```

Calculated values
DOS at the Fermi energy ... 0.647 states/eV/atom

---

Model ii:
This record from Alexandria via LeMat-Bulk describes an optimized crystal structure of Sc4Os5. The functional is PBE.

```
Sc4Os5
1.0
8.0714 0.0000 0.0000
-4.0357 6.9901 0.0000
0.0000 0.0000 5.3243
Sc Os
8 10
Direct
0.0000 0.0000 0.0000 Sc
0.0000 0.0000 0.5000 Sc
0.0000 0.3755 0.2500 Sc
0.0000 0.6245 0.7500 Sc
0.3755 0.0000 0.2500 Sc
0.3755 0.3755 0.7500 Sc
0.6245 0.0000 0.7500 Sc
0.6245 0.6245 0.2500 Sc
0.0000 0.3036 0.7500 Os
0.0000 0.6964 0.2500 Os
0.3036 0.0000 0.7500 Os
0.3036 0.3036 0.2500 Os
0.3333 0.6667 0.0000 Os
0.3333 0.6667 0.5000 Os
0.6667 0.3333 0.0000 Os
0.6667 0.3333 0.5000 Os
0.6964 0.0000 0.2500 Os
0.6964 0.6964 0.7500 Os
```

Calculated values
DOS at the Fermi energy ... 1.015 states/eV/atom

---

Energy relative to the most stable one, in kJ/mol of atoms: model i 0.0; model ii 10.5

---

Model i:
This record from Alexandria via LeMat-Bulk describes an optimized crystal structure of ScOs5. The functional is PBE.

```
ScOs5
1.0
5.1169 0.0000 0.0000
-2.5584 4.4313 0.0000
0.0000 0.0000 4.4539
Sc Os
1 5
Direct
0.0000 0.0000 0.0000 Sc
0.0000 0.5000 0.5000 Os
0.3333 0.6667 0.0000 Os
0.5000 0.0000 0.5000 Os
0.5000 0.5000 0.5000 Os
0.6667 0.3333 0.0000 Os
```

Calculated values
DOS at the Fermi energy ... 1.487 states/eV/atom

---

Model ii:
This record from Alexandria via LeMat-Bulk describes an optimized crystal structure of ScOs5. The functional is PBE.

```
ScOs5
1.0
10.1162 0.0000 0.0000
0.0000 2.7763 0.0000
-1.6801 0.0000 6.4256
Sc Os
2 10
Direct
0.0000 0.0000 0.0000 Sc
0.5000 0.5000 0.0000 Sc
0.1257 0.5000 0.7079 Os
0.1812 0.5000 0.3415 Os
0.2710 0.0000 0.0540 Os
0.3394 0.0000 0.6599 Os
0.4505 0.5000 0.3965 Os
0.6257 0.0000 0.7079 Os
0.6812 0.0000 0.3415 Os
0.7710 0.5000 0.0540 Os
0.8394 0.5000 0.6599 Os
0.9505 0.0000 0.3965 Os
```

Calculated values
DOS at the Fermi energy ... 0.951 states/eV/atom

---

Model iii:
This record from Alexandria via LeMat-Bulk describes an optimized crystal structure of ScOs5. The functional is PBE.

```
ScOs5
1.0
4.4346 0.0000 0.0000
0.0000 2.7932 0.0000
0.0000 0.0000 14.5282
Sc Os
2 10
Direct
0.0000 0.0000 0.0000 Sc
0.0000 0.5000 0.5000 Sc
0.0000 0.0000 0.3251 Os
0.0000 0.0000 0.6692 Os
0.0000 0.5000 0.1692 Os
0.0000 0.5000 0.8251 Os
0.5000 0.0000 0.2170 Os
0.5000 0.0000 0.5545 Os
0.5000 0.0000 0.8845 Os
0.5000 0.5000 0.0545 Os
0.5000 0.5000 0.3845 Os
0.5000 0.5000 0.7170 Os
```

Calculated values
DOS at the Fermi energy ... 1.134 states/eV/atom

---

Energy relative to the most stable one, in kJ/mol of atoms: model i 33.2; model ii 0.0; model iii 8.9